# 1
Below is a geometry-optimized Na5LiN2 structure, with properties calculated at the PBE-GGA level.

- Formation energy from raw total energies: 0.18 eV per atom
- Relative energy among the computed polymorphs: 0.00 eV per formula unit

abc: 5.0098 5.0098 6.6539
angles: 87.81 87.81 112.00
Fractional positions:
Na: 0.9140 0.0860 0.5000
Na: 0.5883 0.4165 0.2341
Na: 0.2682 0.7318 0.5000
Na: 0.2412 0.7588 0.0000
Na: 0.5835 0.4117 0.7659
N: 0.6196 0.9223 0.2289
N: 0.0777 0.3804 0.7711
Li: 0.8866 0.1134 0.0000

---

# 2
Below is a geometry-optimized NaLi2N structure, with properties calculated at the PBE-GGA level.

- Formation energy from raw total energies: -0.09 eV per atom

abc: 3.5275 3.5275 5.0453
angles: 69.54 69.54 60.00
Fractional positions:
Na: 0.0000 0.0000 0.0000
N: 0.5000 0.5000 0.5000
Li: 0.1934 0.1934 0.4199
Li: 0.8066 0.8066 0.5801

---

# 3
Below is a geometry-optimized Na2LiN structure, with properties calculated at the PBE-GGA level.

- Formation energy from raw total energies: 0.63 eV per atom

abc: 3.9746 3.9746 8.7400
angles: 76.86 76.86 90.00
Fractional positions:
Na: 0.0717 0.6250 0.2500
Na: 0.3750 0.3217 0.7500
Na: 0.6783 0.1250 0.2500
Na: 0.8750 0.9283 0.7500
N: 0.7500 0.2500 0.5000
N: 0.0000 0.0000 0.0000
Li: 0.2500 0.7500 0.5000
Li: 0.5000 0.5000 0.0000

---

# 4
Below is a geometry-optimized NaLi2N structure, with properties calculated at the PBE-GGA level.

- Formation energy from raw total energies: 0.01 eV per atom

abc: 5.1626 5.1626 6.4118
angles: 66.26 66.26 90.00
Fractional positions:
Li: 0.3750 0.1250 0.2500
Li: 0.8750 0.6250 0.7500
Li: 0.3750 0.6250 0.7500
Li: 0.3750 0.6250 0.2500
Na: 0.7500 0.2500 0.5000
Na: 0.0000 0.0000 0.0000
N: 0.5000 0.5000 0.0000
N: 0.2500 0.7500 0.5000

---

# 5
Below is a geometry-optimized Na5LiN2 structure, with properties calculated at the PBE-GGA level.

- Formation energy from raw total energies: 0.20 eV per atom
- Relative energy among the computed polymorphs: 0.17 eV per formula unit

abc: 4.4188 4.3527 7.7068
angles: 89.68 90.00 90.00
Fractional positions:
N: 0.0000 0.4791 0.2176
N: 0.5000 0.5162 0.7223
Na: 0.0000 0.4629 0.5595
Na: 0.5000 0.5547 0.3544
Na: 0.5000 0.0147 0.6715
Na: 0.0000 0.6347 0.8999
Na: 0.5000 0.3395 0.0277
Li: 0.0000 0.9951 0.2301

---

# 6
Below is a geometry-optimized NaLiN4 structure, with properties calculated at the PBE-GGA level.

- Formation energy from raw total energies: -0.10 eV per atom

abc: 3.5710 3.5739 5.9068
angles: 89.63 90.38 101.91
Fractional positions:
N: 0.8849 0.3767 0.7828
N: 0.8808 0.3811 0.2202
N: 0.6220 0.1137 0.7829
N: 0.6175 0.1178 0.2202
Li: 0.3773 0.6216 0.0037
Na: 0.1013 0.8970 0.5013

---

# 7
Below is a geometry-optimized Na2LiN structure, with properties calculated at the PBE-GGA level.

- Formation energy from raw total energies: 0.28 eV per atom

abc: 4.0747 4.0747 6.1367
angles: 90.00 90.00 90.00
Fractional positions:
N: 0.0000 0.5000 0.7934
N: 0.5000 0.0000 0.2066
Li: 0.0000 0.0000 0.0000
Li: 0.5000 0.5000 0.0000
Na: 0.0000 0.0000 0.5000
Na: 0.5000 0.0000 0.7993
Na: 0.0000 0.5000 0.2007
Na: 0.5000 0.5000 0.5000

---

# 8
Below is a geometry-optimized Na3Li3N2 structure, with properties calculated at the PBE-GGA level.

- Formation energy from raw total energies: -0.02 eV per atom
- Relative energy among the computed polymorphs: 0.00 eV per formula unit

abc: 4.0038 3.8647 7.9776
angles: 93.18 90.00 90.00
Fractional positions:
Li: 0.0000 0.9689 0.7128
Li: 0.5000 0.0288 0.1585
Li: 0.0000 0.4850 0.0925
N: 0.0000 0.4632 0.6721
N: 0.5000 0.5317 0.1760
Na: 0.5000 0.3319 0.5132
Na: 0.5000 0.5156 0.8516
Na: 0.0000 0.7170 0.3842

---

# 9
Below is a geometry-optimized NaLi4N structure, with properties calculated at the PBE-GGA level.

- Formation energy from raw total energies: -0.16 eV per atom

abc: 4.0045 6.5010 7.8604
angles: 90.00 104.76 90.00
Fractional positions:
Li: 0.4114 0.2500 0.8227
Li: 0.1805 0.9380 0.3610
Li: 0.0000 0.0000 0.0000
Li: 0.8195 0.0620 0.6390
Li: 0.8195 0.4380 0.6390
Li: 0.5886 0.7500 0.1773
Li: 0.1805 0.5620 0.3610
Li: 0.0000 0.5000 0.0000
N: 0.9234 0.2500 0.8468
N: 0.0766 0.7500 0.1532
Na: 0.3898 0.7500 0.7797
Na: 0.6102 0.2500 0.2203

---

# 10
Below is a geometry-optimized NaLi2N structure, with properties calculated at the PBE-GGA level.

- Formation energy from raw total energies: -0.10 eV per atom

abc: 5.8430 4.7683 6.6448
angles: 90.00 90.00 90.00
Fractional positions:
N: 0.0626 0.3759 0.6272
N: 0.5626 0.8759 0.8728
N: 0.5626 0.6241 0.3728
N: 0.0626 0.1241 0.1272
Li: 0.3676 0.6144 0.6500
Li: 0.2575 0.1144 0.8500
Li: 0.8676 0.1144 0.8500
Li: 0.3676 0.8856 0.1500
Li: 0.8676 0.3856 0.3500
Li: 0.7575 0.8856 0.1500
Li: 0.2575 0.3856 0.3500
Li: 0.7575 0.6144 0.6500
Na: 0.5626 0.4098 0.0398
Na: 0.0626 0.9098 0.4602
Na: 0.5626 0.0902 0.5398
Na: 0.0626 0.5902 0.9602

---

# 11
Below is a geometry-optimized NaLi2N structure, with properties calculated at the PBE-GGA level.

- Formation energy from raw total energies: -0.12 eV per atom

abc: 3.5722 3.5722 5.0840
angles: 69.43 69.43 60.00
Fractional positions:
Li: 0.0193 0.0193 0.9420
Li: 0.3112 0.3112 0.0663
N: 0.6745 0.6745 0.9765
Na: 0.4949 0.4949 0.5152

---

# 12
Below is a geometry-optimized Na2LiN4 structure, with properties calculated at the PBE-GGA level.

- Formation energy from raw total energies: -0.10 eV per atom

abc: 4.9719 6.5790 6.5790
angles: 74.52 67.80 67.80
Fractional positions:
Na: 0.6500 0.2202 0.4798
Na: 0.3500 0.7798 0.5202
Na: 0.1500 0.4798 0.2202
Na: 0.8500 0.5202 0.7798
N: 0.5847 0.7335 0.0971
N: 0.8848 0.7843 0.4461
N: 0.9153 0.9029 0.2665
N: 0.6152 0.5539 0.2157
N: 0.0847 0.0971 0.7335
N: 0.3848 0.4461 0.7843
N: 0.1152 0.2157 0.5539
N: 0.4153 0.2665 0.9029
Li: 0.2500 0.0000 0.0000
Li: 0.7500 0.0000 0.0000